Compound: CdFeAs2
Source: Alexandria
Functional: GGA-PBE
Structure: relaxed

POSCAR file:
```
CdFeAs2
1.0
-1.114 3.643 9.390
0.330 1.116 10.066
1.872 3.559 9.301
As Cd Fe
2 1 1
Cartesian
1.060 8.105 28.022 As
0.572 4.372 15.115 As
0.816 6.239 21.568 Cd
0.272 2.080 7.189 Fe
```

## Properties
- Calculated volume: 19.31 Å³ per atom
- Raw total energy: -4.66 eV per atom
- Calculated formation energy: 0.0119 eV per atom
- Total magnetic moment: 1.532 μB/f.u.